(1)
Compound: Ac3HgTe5
Source: Alexandria
Functional: GGA-PBE
Structure: optimized geometry

**M_tot**: 0.000 Bohr magnetons per cell
**Formation energy (no corrections)**: -11.7 eV per formula unit

a = 10.2631 Å, b = 10.2631 Å, c = 6.6187 Å
α = 90.00°, β = 90.00°, γ = 120.00°
Closest atoms and distances in Å follow each position.
Space group P6_3/mcm (No. 193)
Inequivalent atoms, fractional coordinates:
1 Ac 0.0000 0.3608 0.2500  9 Te 3.36-3.68
2 Hg 0.0000 0.0000 0.0000  2 Hg 3.31, 6 Te 3.52
3 Te 0.0000 0.3032 0.7500  5 Ac 3.36-3.45, 2 Hg 3.52
4 Te 0.3333 0.6667 0.0000  2 Te 3.31, 6 Ac 3.68

(2)
Compound: Th4OsSe5
Source: Alexandria
Functional: GGA-PBE
Structure: optimized geometry

**M_tot**: 0.000 Bohr magnetons per cell
**Formation energy (no corrections)**: -13.9 eV per formula unit

a = 18.0811 Å, b = 4.2317 Å, c = 8.5896 Å
α = 90.00°, β = 105.87°, γ = 90.00°
Closest atoms and distances in Å follow each position.
Space group C2/m (No. 12)
Inequivalent atoms, fractional coordinates:
1 Th 0.0027 0.0000 0.2444  4 Se 2.89-3.06, 2 Os 2.97
2 Th 0.1589 0.5000 0.0924  1 Os 2.76, 5 Se 2.92-3.01
3 Os 0.0000 0.5000 0.0000  6 Th 2.76-2.97
4 Se 0.0000 0.5000 0.5000  4 Th 3.06
5 Se 0.1690 0.0000 0.3310  3 Th 2.89-2.92
6 Se 0.1697 0.0000 0.8500  4 Th 3.00-3.01

(3)
Compound: RbSmHgCl6
Source: Alexandria
Functional: GGA-PBE
Structure: optimized geometry

**M_tot**: 0.000 Bohr magnetons per cell
**Formation energy (no corrections)**: -14.9 eV per formula unit

a = 7.1064 Å, b = 7.1064 Å, c = 14.4768 Å
α = 90.00°, β = 90.00°, γ = 120.00°
Closest atoms and distances in Å follow each position.
Space group P-31c (No. 163)
Inequivalent atoms, fractional coordinates:
1 Rb 0.0000 0.0000 0.0000  6 Cl 3.37
2 Sm 0.3333 0.6667 0.2500  6 Cl 2.73
3 Hg 0.3333 0.6667 0.7500  6 Cl 2.73
4 Cl 0.0003 0.3768 0.1417  1 Sm 2.73, 1 Hg 2.73

(4)
Compound: Hf2ScAg
Source: Alexandria
Functional: GGA-PBE
Structure: optimized geometry

**M_tot**: 3.560 Bohr magnetons per cell
**E_form**: 424.8 meV/atom
**Polymorph energy (0 for the lowest one)**: 0.528 eV/atom

a = 7.9574 Å, b = 7.9574 Å, c = 5.7730 Å
α = 90.00°, β = 90.00°, γ = 90.00°
Closest atoms and distances in Å follow each position.
Space group I-42d (No. 122)
Inequivalent atoms, fractional coordinates:
1 Hf 0.2141 0.7500 0.1250  2 Ag 2.72, 2 Hf 2.94
2 Sc 0.0000 0.0000 0.5000  2 Ag 2.89, 4 Hf 3.11
3 Ag 0.0000 0.0000 0.0000  4 Hf 2.72, 2 Sc 2.89

(5)
Compound: TiNi3H
Source: Alexandria
Functional: GGA-PBE
Structure: optimized geometry

**M_tot**: 0.000 Bohr magnetons per cell
**Polymorph energy (0 for the lowest one)**: 0.000 eV/atom

a = 3.6419 Å, b = 7.4794 Å, c = 7.2932 Å
α = 90.00°, β = 90.00°, γ = 90.00°
Closest atoms and distances in Å follow each position.
Space group Amm2 (No. 38)
Inequivalent atoms, fractional coordinates:
1 Ti 0.0000 0.2373 0.0000  1 H 1.96
2 Ni 0.0000 0.0000 0.2490  3 H 1.82-1.85
3 Ni 0.0000 0.0000 0.7534  1 H 1.83
4 Ni 0.5000 0.0000 0.5042  3 H 1.82
5 Ni 0.5000 0.0000 0.9970  1 H 1.88
6 Ni 0.5000 0.2465 0.7505  1 H 1.90
7 H 0.0000 0.0000 0.5024  4 Ni 1.82-1.85, 2 Ti 1.96
8 H 0.5000 0.0000 0.2553  6 Ni 1.82-1.90

(6)
Compound: Zn2CoCl
Source: Alexandria
Functional: GGA-PBE
Structure: optimized geometry

**M_tot**: 2.697 Bohr magnetons per cell
**Polymorph energy (0 for the lowest one)**: 0.032 eV/atom
**Formation energy (no corrections)**: -0.1 eV per formula unit

a = 8.7134 Å, b = 3.0207 Å, c = 5.9202 Å
α = 90.00°, β = 99.34°, γ = 90.00°
Closest atoms and distances in Å follow each position.
Space group Cm (No. 8)
Inequivalent atoms, fractional coordinates:
1 Zn 0.0000 0.0000 0.0000  1 Cl 2.39, 2 Co 2.43
2 Zn 0.2419 0.5000 0.1970  3 Co 2.53-2.54, 3 Zn 2.70
3 Co 0.4743 0.0000 0.3132  2 Cl 2.34, 5 Zn 2.43-2.54
4 Cl 0.0483 0.0000 0.6140  2 Co 2.34, 1 Zn 2.39

(7)
Compound: NaPrYIn
Source: Alexandria
Functional: GGA-PBE
Structure: optimized geometry

**M_tot**: 0.000 Bohr magnetons per cell
**E_form**: -163.7 meV/atom

a = 7.7772 Å, b = 7.7772 Å, c = 7.7772 Å
α = 90.00°, β = 90.00°, γ = 90.00°
Closest atoms and distances in Å follow each position.
Space group F-43m (No. 216)
Inequivalent atoms, fractional coordinates:
1 Na 0.0000 0.0000 0.0000  4 Pr 3.37, 4 Y 3.37
2 Pr 0.2500 0.2500 0.2500  4 In 3.37, 4 Na 3.37
3 Y 0.2500 0.2500 0.7500  4 In 3.37, 4 Na 3.37
4 In 0.0000 0.0000 0.5000  4 Y 3.37, 4 Pr 3.37

Computed values of total energy (unit: eV per atom) for the preceding records, in sequence: -4.45, -7.22, -3.55, -6.85, -6.01, -2.90, -3.99.